(1)
10
Lattice="-3.132 -3.964 -4.462 -3.901 -2.454 4.918 -1.806 1.946 -0.461" Properties=species:S:1:pos:R:3 comment="MnV2Fe2, optimized geometry, DFT PBE" sg=P4/mbm pbc="T T T"
Mn 0.000 0.000 0.000
Mn -3.516 -3.209 0.228
Fe -3.888 -1.199 2.296
Fe -4.950 -3.274 -2.300
Fe -2.582 -0.787 -1.081
Fe -6.256 -3.686 1.077
V -1.832 -1.460 1.013
V -5.201 -4.959 -0.557
V -4.383 -3.447 2.617
V -2.650 -2.971 -2.160

(2)
12
Lattice="-2.287 1.377 3.045 -0.864 -4.757 4.194 4.620 1.588 2.752" Properties=species:S:1:pos:R:3 comment="Mn2VFe3, optimized geometry, DFT PBE" sg=Cmmm pbc="T T T"
V -2.099 -2.294 4.846
V -1.052 -1.087 2.394
Mn 2.310 0.794 1.376
Mn 0.208 -1.441 6.194
Mn 1.261 -0.351 3.798
Mn 0.000 0.000 0.000
Fe -1.038 -0.045 4.626
Fe 0.198 -2.541 3.991
Fe 2.507 -1.748 5.366
Fe 1.271 0.749 6.001
Fe 0.033 1.093 2.223
Fe 2.300 1.872 3.574

(3)
3
Lattice="2.418 0.000 0.000 0.000 2.418 0.000 -1.209 -1.209 6.569" Properties=species:S:1:pos:R:3 comment="MnVFe, optimized geometry, DFT PBE" de_polymorph_kj_per_mol_fu=212.1 sg=I4mm pbc="T T T"
Fe 1.209 1.209 3.666
Mn 1.209 1.209 5.863
V 0.000 0.000 1.638

(4)
6
Lattice="2.872 0.000 0.000 0.000 2.872 0.000 0.000 0.000 8.593" Properties=species:S:1:pos:R:3 comment="Mn2V3Fe, optimized geometry, DFT PBE" sg=P4/mmm pbc="T T T"
Mn 1.436 1.436 1.443
Mn 1.436 1.436 7.150
V 0.000 0.000 2.848
V 0.000 0.000 5.746
V 0.000 0.000 0.000
Fe 1.436 1.436 4.297

(5)
10
Lattice="-2.376 -4.628 -3.899 2.945 -4.543 3.598 -2.385 -0.204 1.695" Properties=species:S:1:pos:R:3 comment="Mn2V2Fe, optimized geometry, DFT PBE" de_polymorph_kj_per_mol_fu=154.8 sg=P4/mbm pbc="T T T"
Mn -1.121 -3.386 -1.984
Mn 0.851 -2.281 0.923
Mn -0.281 -6.889 -1.223
Mn 1.691 -5.785 1.684
Fe 0.000 0.000 0.000
Fe 0.285 -4.585 -0.150
V -2.208 -5.195 -1.193
V -0.483 -6.975 1.020
V -1.333 -2.399 0.374
V 0.392 -4.179 2.587

(6)
6
Lattice="4.050 0.001 0.001 2.025 3.497 0.281 -0.001 -0.398 4.954" Properties=species:S:1:pos:R:3 comment="MnVFe, optimized geometry, DFT PBE" de_polymorph_kj_per_mol_fu=0.0 sg=P3m1 pbc="T T T"
Mn 3.364 1.320 2.416
Mn 5.390 2.613 0.924
Fe 1.339 0.014 4.064
Fe 5.389 2.414 3.401
V 3.364 1.120 4.911
V 1.339 0.211 1.610

Calculated energy of formation, 81; 6; 173; -131; 91; -39 kJ/mol of formula units (same order as the records).